<w>
Computed, not measured: crystalline AlS3O at its relaxed geometry at the GGA-PBE level of DFT.

Fermi-level density of states (states/eV/cell): 5.9
Total moment (μB per formula unit): 0.00
Space group: Pm-3m (221)

Unit cell a=4.5081 b=4.5081 c=4.5081 alpha=90.00 beta=90.00 gamma=90.00
Last column: nearest neighbours and their distance in Å.
Fractional positions:
S: 0.0000 0.5000 0.0000  2 Al 2.25
Al: 0.0000 0.0000 0.0000  6 S 2.25
O: 0.5000 0.5000 0.5000  12 S 3.19
S: 0.0000 0.0000 0.5000  2 Al 2.25
S: 0.5000 0.0000 0.0000  2 Al 2.25

---

<x>
Computed, not measured: crystalline AlS3O at its relaxed geometry at the GGA-PBE level of DFT.

Fermi-level density of states (states/eV/cell): 3.1
Total moment (μB per formula unit): 0.00
Space group: Pm-3m (221)

Unit cell a=4.2232 b=4.2232 c=4.2232 alpha=90.00 beta=90.00 gamma=90.00
Last column: nearest neighbours and their distance in Å.
Fractional positions:
O: 0.0000 0.0000 0.0000  6 S 2.11
S: 0.0000 0.5000 0.0000  2 O 2.11
S: 0.5000 0.0000 0.0000  2 O 2.11
S: 0.0000 0.0000 0.5000  2 O 2.11
Al: 0.5000 0.5000 0.5000  12 S 2.99

---

Stability verdict: <x>, ahead by 17.3 kJ/mol of atoms

---

<w>
Computed, not measured: crystalline Al2SbO at its relaxed geometry at the GGA-PBE level of DFT.

Fermi-level density of states (states/eV/cell): 1.5
Total moment (μB per formula unit): 0.00
Space group: Fm-3m (225)

Unit cell a=4.5503 b=4.5503 c=4.5503 alpha=60.00 beta=60.00 gamma=60.00
Last column: nearest neighbours and their distance in Å.
Fractional positions:
O: 0.0000 0.0000 0.0000  8 Al 2.79
Al: 0.7500 0.7500 0.7500  4 Sb 2.79, 4 O 2.79
Al: 0.2500 0.2500 0.2500  4 Sb 2.79, 4 O 2.79
Sb: 0.5000 0.5000 0.5000  8 Al 2.79

---

<x>
Computed, not measured: crystalline Al2SbO at its relaxed geometry at the GGA-PBE level of DFT.

Fermi-level density of states (states/eV/cell): 3.6
Total moment (μB per formula unit): 0.00
Space group: I-42d (122)

Unit cell a=5.0771 b=5.0771 c=6.7020 alpha=67.74 beta=67.74 gamma=90.00
Last column: nearest neighbours and their distance in Å.
Fractional positions:
Al: 0.4896 0.1250 0.2500  2 O 1.99
Al: 0.2604 0.6250 0.2500  2 O 1.99
Sb: 0.0000 0.0000 0.0000  4 Al 2.73
O: 0.5000 0.5000 0.0000  4 Al 1.99
Al: 0.8750 0.7396 0.7500  2 O 1.99
Sb: 0.7500 0.2500 0.5000  4 Al 2.73
Al: 0.3750 0.5104 0.7500  2 O 1.99
O: 0.2500 0.7500 0.5000  4 Al 1.99

---

Stability verdict: <x>, ahead by 85.6 kJ/mol of atoms

---

<w>
Computed, not measured: crystalline AlSb3O at its relaxed geometry at the GGA-PBE level of DFT.

Fermi-level density of states (states/eV/cell): 14.4
Total moment (μB per formula unit): 0.00
Space group: Pm-3m (221)

Unit cell a=5.1758 b=5.1758 c=5.1758 alpha=90.00 beta=90.00 gamma=90.00
Last column: nearest neighbours and their distance in Å.
Fractional positions:
O: 0.5000 0.5000 0.5000  12 Sb 3.66
Sb: 0.5000 0.0000 0.0000  2 Al 2.59
Al: 0.0000 0.0000 0.0000  6 Sb 2.59
Sb: 0.0000 0.0000 0.5000  2 Al 2.59
Sb: 0.0000 0.5000 0.0000  2 Al 2.59

---

<x>
Computed, not measured: crystalline AlSb3O at its relaxed geometry at the GGA-PBE level of DFT.

Fermi-level density of states (states/eV/cell): 2.5
Total moment (μB per formula unit): 0.00
Space group: Pm-3m (221)

Unit cell a=4.7793 b=4.7793 c=4.7793 alpha=90.00 beta=90.00 gamma=90.00
Last column: nearest neighbours and their distance in Å.
Fractional positions:
Sb: 0.5000 0.0000 0.0000  2 O 2.39
Al: 0.5000 0.5000 0.5000  12 Sb 3.38
Sb: 0.0000 0.5000 0.0000  2 O 2.39
O: 0.0000 0.0000 0.0000  6 Sb 2.39
Sb: 0.0000 0.0000 0.5000  2 O 2.39

---

Stability verdict: <x>, ahead by 85.1 kJ/mol of atoms

---

<w>
Computed, not measured: crystalline AlSb2TeO at its relaxed geometry at the GGA-PBE level of DFT.

Fermi-level density of states (states/eV/cell): 3.7
Total moment (μB per formula unit): 0.00
Space group: P4/mmm (123)

Unit cell a=4.6143 b=4.6143 c=5.3542 alpha=90.00 beta=90.00 gamma=90.00
Last column: nearest neighbours and their distance in Å.
Fractional positions:
Sb: 0.5000 0.0000 0.0000  2 O 2.31
Te: 0.0000 0.0000 0.5000  2 O 2.68
Sb: 0.0000 0.5000 0.0000  2 O 2.31
O: 0.0000 0.0000 0.0000  4 Sb 2.31
Al: 0.5000 0.5000 0.5000  4 Te 3.26, 8 Sb 3.53

---

<x>
Computed, not measured: crystalline AlSb2TeO at its relaxed geometry at the GGA-PBE level of DFT.

Fermi-level density of states (states/eV/cell): 9.7
Total moment (μB per formula unit): 0.00
Space group: P4/mmm (123)

Unit cell a=5.2300 b=5.2300 c=5.1324 alpha=90.00 beta=90.00 gamma=90.00
Last column: nearest neighbours and their distance in Å.
Fractional positions:
Te: 0.0000 0.0000 0.5000  2 Al 2.57
Sb: 0.5000 0.0000 0.0000  2 Al 2.62
O: 0.5000 0.5000 0.5000  8 Sb 3.66, 4 Te 3.70
Al: 0.0000 0.0000 0.0000  2 Te 2.57, 4 Sb 2.62
Sb: 0.0000 0.5000 0.0000  2 Al 2.62

---

Stability verdict: <w>, ahead by 74.4 kJ/mol of atoms